Below is a relaxed AgP8 crystal, with properties calculated at the GGA-PBE level.

a b c (Å): 9.004 9.004 4.127
angles (deg): 90.00 90.00 90.00
Space group I4/mmm (No. 139)
One atom of each set of equivalent atoms:
Ag 0.000 0.000 0.000 (multiplicity 2)
P 0.000 0.374 0.000 (multiplicity 8)
P 0.205 0.205 0.000 (multiplicity 8)

Total energy (eV per atom): -4.71
DFT formation energy (eV per atom): 0.418